1.
Compound: Pu3Pa3VN8
Source: Alexandria via LeMat-Bulk
Functional: PBE
Structure: relaxed

The structure in CIF format:
```
data_Pu3Pa3VN8
_cell_length_a 6.8120
_cell_length_b 6.8120
_cell_length_c 16.6304
_cell_angle_alpha 90.00
_cell_angle_beta 90.00
_cell_angle_gamma 120.00
_symmetry_space_group_name_H-M 'R -3 m'
_symmetry_Int_Tables_number 166
_symmetry_space_group_name_Hall '-R 3 2"'
loop_
_atom_site_label
_atom_site_type_symbol
_atom_site_fract_x
_atom_site_fract_y
_atom_site_fract_z
Pu1 Pu 0.0000 0.5000 0.0000
Pa1 Pa 0.0000 0.5000 0.5000
V1 V 0.0000 0.0000 0.5000
N1 N 0.0000 0.0000 0.2473
N2 N 0.0300 0.5150 0.2385
```

Values from the calculation:
The value obtained for the calculated volume is 668 Å³/cell. Its formation energy (no corrections) is -1264 meV per atom. The total energy comes out at -11.08 eV per atom. The density of states at the Fermi level comes out at 69.3 states/eV per cell. The spin magnetization is 0.996 μB/atom.



2.
Compound: DyLuH
Source: Alexandria via LeMat-Bulk
Functional: PBE
Structure: relaxed

The structure in CIF format:
```
data_DyLuH
_cell_length_a 3.4422
_cell_length_b 3.4422
_cell_length_c 9.9461
_cell_angle_alpha 90.00
_cell_angle_beta 90.00
_cell_angle_gamma 90.00
_symmetry_space_group_name_H-M 'P 4/n m m'
_symmetry_Int_Tables_number 129
loop_
_symmetry_equiv_pos_as_xyz
'x,y,z'
'-x,-y,-z'
'-y+1/2,x,z'
'y+1/2,-x,-z'
'-x+1/2,-y+1/2,z'
'x+1/2,y+1/2,-z'
'y,-x+1/2,z'
'-y,x+1/2,-z'
'x+1/2,-y,-z'
'-x+1/2,y,z'
'-y,-x,-z'
'y,x,z'
'-x,y+1/2,-z'
'x,-y+1/2,z'
'y+1/2,x+1/2,-z'
'-y+1/2,-x+1/2,z'
loop_
_atom_site_label
_atom_site_type_symbol
_atom_site_fract_x
_atom_site_fract_y
_atom_site_fract_z
Dy1 Dy 0.2500 0.2500 0.1330
Lu1 Lu 0.2500 0.2500 0.6201
H1 H 0.2500 0.2500 0.3780
```

Values from the calculation:
The value obtained for the calculated volume is 118 Å³/cell. For the distance to the lowest polymorph of the same formula, the calculation gives 8.1 kJ/mol of formula units. The total energy comes out at -4.37 eV per atom. The density of states at the Fermi level comes out at 4.9 states/eV per cell. The spin magnetization is 0.000 μB/atom.



3.
Compound: Ho3ThZn4
Source: Alexandria via LeMat-Bulk
Functional: PBE
Structure: relaxed

The structure in CIF format:
```
data_Ho3ThZn4
_cell_length_a 5.0579
_cell_length_b 5.0579
_cell_length_c 7.1962
_cell_angle_alpha 90.00
_cell_angle_beta 90.00
_cell_angle_gamma 90.00
_symmetry_space_group_name_H-M 'P 4/m m m'
_symmetry_Int_Tables_number 123
_symmetry_space_group_name_Hall '-P 4 2'
loop_
_atom_site_label
_atom_site_type_symbol
_atom_site_fract_x
_atom_site_fract_y
_atom_site_fract_z
Ho1 Ho 0.0000 0.0000 0.0000
Ho2 Ho 0.0000 0.0000 0.5000
Ho3 Ho 0.5000 0.5000 0.0000
Th1 Th 0.5000 0.5000 0.5000
Zn1 Zn 0.0000 0.5000 0.2423
```

Values from the calculation:
The value obtained for the calculated volume is 184 Å³/cell. The total energy comes out at -3.57 eV per atom. The density of states at the Fermi level comes out at 8.4 states/eV per cell. The spin magnetization is 0.000 μB/atom.



4.
Compound: AcEuPb
Source: Alexandria via LeMat-Bulk
Functional: PBE
Structure: relaxed

The structure in CIF format:
```
data_AcEuPb
_cell_length_a 7.9537
_cell_length_b 7.9537
_cell_length_c 7.9537
_cell_angle_alpha 90.00
_cell_angle_beta 90.00
_cell_angle_gamma 90.00
_symmetry_space_group_name_H-M 'F -4 3 m'
_symmetry_Int_Tables_number 216
_symmetry_space_group_name_Hall 'F -4 2 3'
loop_
_atom_site_label
_atom_site_type_symbol
_atom_site_fract_x
_atom_site_fract_y
_atom_site_fract_z
Ac1 Ac 0.0000 0.0000 0.0000
Eu1 Eu 0.0000 0.0000 0.5000
Pb1 Pb 0.2500 0.2500 0.2500
```

Values from the calculation:
The value obtained for the calculated volume is 503 Å³/cell. For the distance to the lowest polymorph of the same formula, the calculation gives 0.0 kJ/mol of formula units. The total energy comes out at -6.37 eV per atom. The density of states at the Fermi level comes out at 44.0 states/eV per cell. The spin magnetization is 2.656 μB/atom.



5.
Compound: LiCuW
Source: Alexandria via LeMat-Bulk
Functional: PBE
Structure: relaxed

The structure in CIF format:
```
data_LiCuW
_cell_length_a 2.7001
_cell_length_b 2.7001
_cell_length_c 7.0111
_cell_angle_alpha 90.00
_cell_angle_beta 90.00
_cell_angle_gamma 120.00
_symmetry_space_group_name_H-M 'P 3 m 1'
_symmetry_Int_Tables_number 156
_symmetry_space_group_name_Hall 'P 3 -2"'
loop_
_atom_site_label
_atom_site_type_symbol
_atom_site_fract_x
_atom_site_fract_y
_atom_site_fract_z
Li1 Li 0.0000 0.0000 0.0000
Cu1 Cu 0.3333 0.6667 0.6833
W1 W 0.6667 0.3333 0.3627
```

Values from the calculation:
The value obtained for the calculated volume is 44 Å³/cell. For the distance to the lowest polymorph of the same formula, the calculation gives 6.6 kJ/mol of formula units. The total energy comes out at -5.96 eV per atom. The density of states at the Fermi level comes out at 2.1 states/eV per cell. The spin magnetization is 0.000 μB/atom.



6.
Compound: PmEuCu
Source: Alexandria via LeMat-Bulk
Functional: PBE
Structure: relaxed

The structure in CIF format:
```
data_PmEuCu
_cell_length_a 4.8621
_cell_length_b 4.8621
_cell_length_c 4.0848
_cell_angle_alpha 90.00
_cell_angle_beta 90.00
_cell_angle_gamma 120.00
_symmetry_space_group_name_H-M 'P 3 m 1'
_symmetry_Int_Tables_number 156
_symmetry_space_group_name_Hall 'P 3 -2"'
loop_
_atom_site_label
_atom_site_type_symbol
_atom_site_fract_x
_atom_site_fract_y
_atom_site_fract_z
Pm1 Pm 0.0000 0.0000 0.0000
Eu1 Eu 0.6667 0.3333 0.5363
Cu1 Cu 0.3333 0.6667 0.2142
```

Values from the calculation:
The value obtained for the calculated volume is 84 Å³/cell. For the distance to the lowest polymorph of the same formula, the calculation gives 49.0 kJ/mol of formula units. The total energy comes out at -6.26 eV per atom. The density of states at the Fermi level comes out at 2.2 states/eV per cell. The spin magnetization is 2.393 μB/atom.



What did the third record say?
Compound: Ho3ThZn4
Source: Alexandria via LeMat-Bulk
Functional: PBE
Structure: relaxed

The structure in CIF format:
```
data_Ho3ThZn4
_cell_length_a 5.0579
_cell_length_b 5.0579
_cell_length_c 7.1962
_cell_angle_alpha 90.00
_cell_angle_beta 90.00
_cell_angle_gamma 90.00
_symmetry_space_group_name_H-M 'P 4/m m m'
_symmetry_Int_Tables_number 123
_symmetry_space_group_name_Hall '-P 4 2'
loop_
_atom_site_label
_atom_site_type_symbol
_atom_site_fract_x
_atom_site_fract_y
_atom_site_fract_z
Ho1 Ho 0.0000 0.0000 0.0000
Ho2 Ho 0.0000 0.0000 0.5000
Ho3 Ho 0.5000 0.5000 0.0000
Th1 Th 0.5000 0.5000 0.5000
Zn1 Zn 0.0000 0.5000 0.2423
```

Values from the calculation:
The value obtained for the calculated volume is 184 Å³/cell. The total energy comes out at -3.57 eV per atom. The density of states at the Fermi level comes out at 8.4 states/eV per cell. The spin magnetization is 0.000 μB/atom.



Among the records above, which one has the highest total energy?
Ho3ThZn4



Among the records above, which one has the lowest calculated volume?
LiCuW